[1]
The following is a PBE calculation of crystalline BaSrAc2 at its relaxed geometry, from the Alexandria database.

Unit cell a=4.0060 b=4.0060 c=14.7439 alpha=82.19 beta=82.19 gamma=60.00
Fractional coordinates of all 4 atoms:
1 Sr 0.5000 0.5000 0.5000
2 Ac 0.0886 0.0886 0.7341
3 Ac 0.9114 0.9114 0.2659
4 Ba 0.0000 0.0000 0.0000

Computed properties:
Energy above the most stable polymorph in this dataset   156 meV/atom
Density of states at the Fermi level   7.97 states/eV per cell
ΔH_f (0 K)   0.86 eV per formula unit


[2]
The following is a PBE calculation of crystalline La3Ga5O12 at its relaxed geometry, from the Alexandria database.

Unit cell a=11.0668 b=11.0668 c=11.0668 alpha=109.47 beta=109.47 gamma=109.47
Fractional coordinates of all 80 atoms:
1 La 0.7500 0.1250 0.3750
2 La 0.8750 0.6250 0.2500
3 La 0.3750 0.1250 0.2500
4 La 0.2500 0.3750 0.1250
5 La 0.1250 0.2500 0.3750
6 La 0.6250 0.2500 0.8750
7 La 0.3750 0.7500 0.1250
8 La 0.8750 0.7500 0.6250
9 La 0.7500 0.6250 0.8750
10 La 0.1250 0.3750 0.7500
11 La 0.6250 0.8750 0.7500
12 La 0.2500 0.8750 0.6250
13 Ga 0.8750 0.2500 0.1250
14 Ga 0.5000 0.0000 0.0000
15 Ga 0.0000 0.0000 0.0000
16 Ga 0.8750 0.1250 0.7500
17 Ga 0.5000 0.5000 0.0000
18 Ga 0.5000 0.0000 0.5000
19 Ga 0.6250 0.3750 0.2500
20 Ga 0.7500 0.8750 0.1250
21 Ga 0.7500 0.3750 0.6250
22 Ga 0.3750 0.2500 0.6250
23 Ga 0.0000 0.5000 0.0000
24 Ga 0.0000 0.0000 0.5000
25 Ga 0.5000 0.5000 0.5000
26 Ga 0.6250 0.7500 0.3750
27 Ga 0.2500 0.6250 0.3750
28 Ga 0.2500 0.1250 0.8750
29 Ga 0.0000 0.5000 0.5000
30 Ga 0.3750 0.6250 0.7500
31 Ga 0.1250 0.8750 0.2500
32 Ga 0.1250 0.7500 0.8750
33 O 0.9020 0.0201 0.3211
34 O 0.8819 0.4020 0.0809
35 O 0.9191 0.3010 0.3211
36 O 0.9799 0.6789 0.0980
37 O 0.9191 0.1181 0.5980
38 O 0.5809 0.1789 0.1990
39 O 0.6181 0.4191 0.0980
40 O 0.1990 0.1181 0.0201
41 O 0.5980 0.1789 0.4799
42 O 0.6990 0.6789 0.0809
43 O 0.9020 0.3819 0.5809
44 O 0.6789 0.0809 0.6990
45 O 0.1181 0.0201 0.1990
46 O 0.8211 0.5201 0.4020
47 O 0.4799 0.3819 0.3010
48 O 0.4799 0.5980 0.1789
49 O 0.0201 0.1990 0.1181
50 O 0.4191 0.0980 0.6181
51 O 0.8211 0.8010 0.4191
52 O 0.3819 0.3010 0.4799
53 O 0.6789 0.0980 0.9799
54 O 0.8010 0.4191 0.8211
55 O 0.6990 0.5201 0.6181
56 O 0.5980 0.9191 0.1181
57 O 0.3010 0.4799 0.3819
58 O 0.1990 0.5809 0.1789
59 O 0.4020 0.0809 0.8819
60 O 0.6181 0.6990 0.5201
61 O 0.3211 0.9020 0.0201
62 O 0.1789 0.1990 0.5809
63 O 0.5201 0.4020 0.8211
64 O 0.5809 0.9020 0.3819
65 O 0.9799 0.8010 0.8819
66 O 0.5201 0.6181 0.6990
67 O 0.8819 0.9799 0.8010
68 O 0.3211 0.9191 0.3010
69 O 0.1789 0.4799 0.5980
70 O 0.4020 0.8211 0.5201
71 O 0.3010 0.3211 0.9191
72 O 0.0980 0.6181 0.4191
73 O 0.8010 0.8819 0.9799
74 O 0.3819 0.5809 0.9020
75 O 0.4191 0.8211 0.8010
76 O 0.0809 0.8819 0.4020
77 O 0.0201 0.3211 0.9020
78 O 0.0809 0.6990 0.6789
79 O 0.1181 0.5980 0.9191
80 O 0.0980 0.9799 0.6789

Computed properties:
Formation energy from raw total energies   -2.505 eV per atom
Density of states at the Fermi level   0.00 states/eV per cell


[3]
The following is a PBE calculation of crystalline CsLaAgCl5 at its relaxed geometry, from the Alexandria database.

Unit cell a=7.9735 b=7.9735 c=10.6360 alpha=102.23 beta=102.23 gamma=108.73
Fractional coordinates of all 16 atoms:
1 Cs 0.3418 0.6582 0.2500
2 Cs 0.6582 0.3418 0.7500
3 La 0.0000 0.0000 0.5000
4 La 0.0000 0.0000 0.0000
5 Ag 0.6868 0.3132 0.2500
6 Ag 0.3132 0.6868 0.7500
7 Cl 0.0714 0.9286 0.2500
8 Cl 0.9286 0.0714 0.7500
9 Cl 0.8990 0.2961 0.0950
10 Cl 0.1010 0.7039 0.9050
11 Cl 0.7039 0.1010 0.4050
12 Cl 0.2961 0.8990 0.5950
13 Cl 0.7538 0.6323 0.4271
14 Cl 0.2462 0.3677 0.5729
15 Cl 0.3677 0.2462 0.0729
16 Cl 0.6323 0.7538 0.9271

Computed properties:
Formation energy from raw total energies   -1.822 eV per atom
Density of states at the Fermi level   0.00 states/eV per cell